1.
Below is a relaxed structure of Zn5Si3, with properties calculated at the PBE level.

Values from the calculation:
energy above the most stable polymorph in this dataset = 0.0 meV per atom
formation energy from raw total energies = 217 meV per atom

Geometry as POSCAR:
```
Zn5Si3
1.0
10.330 -0.242 0.822
5.215 6.374 0.822
6.445 -3.375 4.122
Zn Si
10 6
direct
0.378 0.890 0.385
0.115 0.154 0.122
0.195 0.254 0.305
0.836 0.892 0.878
0.589 0.649 0.659
0.164 0.596 0.137
0.622 0.106 0.664
0.363 0.397 0.336
0.841 0.398 0.911
0.704 0.749 0.796
0.306 0.255 0.680
0.795 0.208 0.705
0.820 0.741 0.194
0.260 0.725 0.736
0.764 0.221 0.240
0.246 0.759 0.254
```

2.
Below is a relaxed structure of LiCaBePt2, with properties calculated at the PBE level.

Values from the calculation:
formation energy from the elements = -590 meV/atom

Geometry as POSCAR:
```
LiCaBePt2
1.0
-0.750 -1.374 -4.049
4.065 1.045 -1.107
1.352 -4.065 1.129
Pt Ca Li Be
2 1 1 1
direct
0.500 0.000 0.000
0.000 0.500 0.000
0.500 0.500 0.500
0.000 0.000 0.500
0.000 0.000 0.000
```

no.,electronic total energy (eV per atom),DOS(E_F) (states/eV/atom)
1,-2.612,0.23
2,-4.535,0.45